# 1
5
Lattice="-2.3064 -3.3773 -2.3240 1.0899 -3.4896 3.9897 -3.9887 1.2324 2.1675" Properties=species:S:1:pos:R:3 comment="CsYB2P GGA-PBE optimized geometry" magmom_total_mub_per_atom=0.0094 spacegroup="No. 123" e_form_ev_per_atom=2.188 final_energy_ry_per_atom=-0.2226 pbc="T T T"
Cs 0.0000 0.0000 0.0000
Y -2.6026 -2.8173 1.9166
B -1.9943 0.6162 1.0837
B -1.1532 -1.6887 -1.1620
P 0.5449 -1.7448 1.9949

***

# 2
4
Lattice="3.5829 0.0000 0.0000 0.0000 3.5829 0.0000 0.0000 0.0000 5.4269" Properties=species:S:1:pos:R:3 comment="ZrNiAs2 GGA-PBE optimized geometry" magmom_total_mub_per_atom=0.0000 spacegroup="No. 99" e_form_ev_per_atom=-0.523 final_energy_ry_per_atom=-0.4726 pbc="T T T"
As 0.0000 0.0000 5.2048
As 1.7914 1.7914 1.6838
Ni 0.0000 0.0000 2.3838
Zr 1.7914 1.7914 4.2949

***

# 3
4
Lattice="3.3459 0.0000 0.0000 0.0000 3.3459 0.0000 0.0000 0.0000 7.2340" Properties=species:S:1:pos:R:3 comment="CaTaOs2 GGA-PBE optimized geometry" magmom_total_mub_per_atom=0.0007 spacegroup="No. 99" e_above_lowest_polymorph_kj_per_mol_fu=213.5 e_form_ev_per_atom=0.568 final_energy_ry_per_atom=-0.6255 pbc="T T T"
Ca 1.6729 1.6729 5.5972
Os 0.0000 0.0000 0.4409
Os 1.6729 1.6729 1.8354
Ta 0.0000 0.0000 2.9776

***

# 4
8
Lattice="4.8201 0.0000 0.0000 0.0000 4.8736 0.0000 0.0000 0.0000 9.7696" Properties=species:S:1:pos:R:3 comment="Nd2Sn3Pb3 GGA-PBE optimized geometry" magmom_total_mub_per_atom=0.0000 spacegroup="No. 47" e_form_ev_per_atom=-0.428 final_energy_ry_per_atom=-0.3316 pbc="T T T"
Nd 0.0000 0.0000 7.3961
Nd 0.0000 0.0000 2.3735
Sn 2.4100 2.4368 7.3490
Sn 2.4100 2.4368 2.4206
Sn 2.4100 0.0000 0.0000
Pb 2.4100 0.0000 4.8848
Pb 0.0000 2.4368 0.0000
Pb 0.0000 2.4368 4.8848

***

# 5
12
Lattice="-0.5715 4.9910 0.1693 -3.3732 -0.4983 -3.7504 -5.5138 -1.2840 4.2256" Properties=species:S:1:pos:R:3 comment="AgBi2IO8 GGA-PBE optimized geometry" magmom_total_mub_per_atom=0.0000 spacegroup="No. 2" final_energy_ry_per_atom=-0.3598 pbc="T T T"
Ag -2.7569 -0.6420 2.1128
Bi -6.1002 1.1726 1.3250
Bi -3.3583 2.0360 -0.6805
I 0.0000 0.0000 0.0000
O -3.6564 0.2270 -2.0211
O -8.4078 1.8245 1.4376
O -2.2094 3.9297 0.5025
O -5.8021 2.9816 2.6656
O -1.0506 1.3841 -0.7931
O -7.2491 -0.7210 0.1420
O -5.5572 2.4662 -0.4269
O -3.9013 0.7425 1.0714

***

# 6
20
Lattice="-3.8416 4.4662 5.8707 -5.7632 -7.4389 4.7622 6.4767 -1.4293 8.1999" Properties=species:S:1:pos:R:3 comment="CsCu2TeI6 GGA-PBE optimized geometry" magmom_total_mub_per_atom=0.0000 spacegroup="No. 15" final_energy_ry_per_atom=-0.1817 pbc="T T T"
Cs -6.1169 -6.0244 6.4003
Cs 2.9888 1.6224 12.4326
Cu -1.5641 -5.3098 10.2360
Cu -1.6073 -2.2896 5.1099
Cu -1.5640 0.9078 8.5968
Cu -1.5209 -2.1124 13.7230
Te 2.5252 -1.7814 8.8275
Te -5.6533 -2.6206 10.0053
I -1.8052 -7.7185 11.3240
I -3.0604 -0.7128 3.5460
I -1.3229 3.3165 7.5089
I -0.0677 -3.6892 15.2868
I -4.1285 -5.1134 9.4631
I -3.1113 -4.4835 4.7401
I 1.0004 0.7114 9.3698
I -0.0168 0.0815 14.0927
I -4.0384 -1.7854 14.1151
I -2.4509 -1.0907 7.2486
I 0.9103 -2.6166 4.7178
I -0.6772 -3.3113 11.5843